1.
# Tb5Y3Tl

Tb5Y3Tl after structural relaxation (PBE, Alexandria via LeMat-Bulk).

abc: 9.3220 9.3220 13.6564
angles: 90.00 90.00 90.00
Last column: nearest neighbours and their distance in Å.
Space group I4/mcm (No. 140)
Unique sites:
Tb1 0.0000 0.0000 0.0000  6 Y 3.41-3.75
Tb2 0.1908 0.3092 0.1344  1 Tl 2.97, 1 Y 3.16
Y1 0.0000 0.0000 0.2500  10 Tb 3.41-3.74
Y2 0.1144 0.3856 0.5000  1 Y 3.02, 2 Tb 3.16
Tl1 0.0000 0.5000 0.2500  4 Tb 2.97

Summary:
- Density: 7.084 Mg/m³
- DOS(E_F): 12.54 states/eV/f.u.
- Calculated total energy: -43.03 eV per formula unit
- Total moment: 0.00 μB per formula unit

2.
# SrOsPb

SrOsPb after structural relaxation (PBE, Alexandria via LeMat-Bulk).

abc: 6.8899 6.8899 6.8899
angles: 90.00 90.00 90.00
Last column: nearest neighbours and their distance in Å.
Space group F-43m (No. 216)
Unique sites:
Sr1 0.0000 0.0000 0.0000  4 Os 2.98
Os1 0.2500 0.2500 0.7500  4 Pb 2.98, 4 Sr 2.98
Pb1 0.0000 0.0000 0.5000  4 Os 2.98

Summary:
- Energy above the most stable polymorph in this dataset: 0.55 eV/f.u.
- Density: 9.850 Mg/m³
- DOS(E_F): 1.42 states/eV/f.u.
- Total moment: 0.00 μB per formula unit

3.
# UTe2

UTe2 after structural relaxation (PBE, Alexandria via LeMat-Bulk).

abc: 4.2078 6.1670 13.8578
angles: 90.00 90.00 90.00
Last column: nearest neighbours and their distance in Å.
Space group Immm (No. 71)
Unique sites:
U1 0.0000 0.0000 0.1343  8 Te 3.09-3.22
Te1 0.0000 0.2505 0.5000  2 Te 3.08-3.09, 4 U 3.20
Te2 0.0000 0.5000 0.2022  4 U 3.09-3.22

Summary:
- Density: 9.110 Mg/m³
- DOS(E_F): 7.43 states/eV/f.u.
- Total moment: 2.56 μB per formula unit
- Energy relative to the elements, uncorrected: -0.66 eV per atom

4.
# BaMg2Te

BaMg2Te after structural relaxation (PBE, Alexandria via LeMat-Bulk).

abc: 9.3207 9.3207 6.6978
angles: 90.00 90.00 90.00
Last column: nearest neighbours and their distance in Å.
Space group I-42d (No. 122)
Unique sites:
Ba1 0.0000 0.0000 0.0000  2 Te 3.35
Mg1 0.1949 0.2500 0.6250  2 Te 3.07
Te1 0.0000 0.0000 0.5000  4 Mg 3.07, 2 Ba 3.35

Summary:
- Density: 3.579 Mg/m³
- DOS(E_F): 0.17 states/eV/f.u.
- Total moment: 0.00 μB per formula unit
- Energy relative to the elements, uncorrected: -0.44 eV per atom

5.
# Sb2AuN2

Sb2AuN2 after structural relaxation (PBE, Alexandria via LeMat-Bulk).

abc: 4.3408 4.3364 13.6429
angles: 90.00 90.66 90.00
Last column: nearest neighbours and their distance in Å.
Space group C2/m (No. 12)
Unique sites:
Sb1 0.0125 0.0000 0.1962  1 Au 2.68
Au1 0.0000 0.0000 0.0000  2 Sb 2.68
N1 0.0019 0.5000 0.4592  1 N 1.11

Summary:
- Density: 6.059 Mg/m³
- DOS(E_F): 1.61 states/eV/f.u.
- Total moment: 0.00 μB per formula unit
- Energy relative to the elements, uncorrected: 0.10 eV per atom

6.
# Al2SnAu2

Al2SnAu2 after structural relaxation (PBE, Alexandria via LeMat-Bulk).

abc: 4.0887 4.0887 12.0192
angles: 90.00 90.00 90.00
Last column: nearest neighbours and their distance in Å.
Space group I4/mmm (No. 139)
Unique sites:
Al1 0.0000 0.5000 0.2500  4 Au 2.59, 4 Al 2.89
Sn1 0.0000 0.0000 0.0000  8 Au 3.22
Au1 0.0000 0.0000 0.3819  4 Al 2.59, 1 Au 2.84

Summary:
- Energy above the most stable polymorph in this dataset: 0.00 eV/f.u.
- Density: 9.365 Mg/m³
- DOS(E_F): 2.08 states/eV/f.u.
- Total moment: 0.00 μB per formula unit

7.
# Sm12Y5Er2

Sm12Y5Er2 after structural relaxation (PBE, Alexandria via LeMat-Bulk).

abc: 17.7947 11.7056 6.2136
angles: 90.00 102.51 90.00
Last column: nearest neighbours and their distance in Å.
Space group C2/m (No. 12)
Unique sites:
Sm1 0.0546 0.0000 0.2744  6 Sm 3.54-3.91, 2 Er 3.60, 2 Y 3.70-3.82
Sm2 0.1034 0.2504 0.6176  1 Er 3.31, 5 Sm 3.38-3.65, 3 Y 3.43-3.61
Sm3 0.1188 0.5000 0.0021  4 Y 3.37-3.58, 4 Sm 3.40-3.75, 2 Er 3.44
Sm4 0.1965 0.2448 0.1981  5 Sm 3.38-3.63, 3 Y 3.45-3.69, 1 Er 3.46
Y1 0.0000 0.5000 0.5000  6 Sm 3.37-3.45
Y2 0.1764 0.0000 0.8621  9 Sm 3.43-3.82, 2 Y 3.54-3.71
Y3 0.2163 0.5000 0.5553  8 Sm 3.45-3.69, 3 Y 3.54-3.79
Er1 0.0000 0.2682 0.0000  8 Sm 3.31-3.60

Summary:
- Density: 6.790 Mg/m³
- DOS(E_F): 28.10 states/eV/f.u.
- Calculated total energy: -96.18 eV per formula unit
- Total moment: 0.00 μB per formula unit

8.
# TbSmIn2Te4

TbSmIn2Te4 after structural relaxation (PBE, Alexandria via LeMat-Bulk).

abc: 7.7111 4.4519 8.5068
angles: 90.00 107.58 90.00
Last column: nearest neighbours and their distance in Å.
Space group P2/m (No. 10)
Unique sites:
Tb1 0.0000 0.0000 0.0000  6 Te 3.12
Sm1 0.5000 0.5000 0.0000  6 Te 3.16
In1 0.0000 0.5000 0.5000  6 Te 3.40
In2 0.5000 0.0000 0.5000  6 Te 3.43
Te1 0.2368 0.5000 0.2212  2 Tb 3.12, 1 Sm 3.16, 3 In 3.40-3.43
Te2 0.2553 0.0000 0.7766  1 Tb 3.12, 2 Sm 3.16, 3 In 3.40-3.43

Summary:
- Density: 6.259 Mg/m³
- DOS(E_F): 0.36 states/eV/f.u.
- Total moment: 0.00 μB per formula unit
- Energy relative to the elements, uncorrected: -0.98 eV per atom

9.
# CsNpAl2F8

CsNpAl2F8 after structural relaxation (PBE, Alexandria via LeMat-Bulk).

abc: 5.1416 5.1416 30.6581
angles: 90.00 90.00 120.00
Last column: nearest neighbours and their distance in Å.
Space group R-3 (No. 148, hexagonal axes)
Unique sites:
Cs1 0.0000 0.0000 0.0000  6 F 3.14
Np1 0.0000 0.0000 0.5000  6 F 2.56
Al1 0.0000 0.0000 0.2432  4 F 1.72-1.73
F1 0.0000 0.0000 0.2995  1 Al 1.73
F2 0.0115 0.6407 0.1013  1 Al 1.72

Summary:
- Density: 4.087 Mg/m³
- DOS(E_F): 6.06 states/eV/f.u.
- Total moment: 4.95 μB per formula unit
- Energy relative to the elements, uncorrected: -2.96 eV per atom

10.
# PuTeAuO6

PuTeAuO6 after structural relaxation (PBE, Alexandria via LeMat-Bulk).

abc: 5.6775 5.6775 9.6689
angles: 90.00 90.00 120.00
Last column: nearest neighbours and their distance in Å.
Space group P-31c (No. 163)
Unique sites:
Pu1 0.3333 0.6667 0.2500  6 O 2.07
Te1 0.3333 0.6667 0.7500  6 O 2.16
Au1 0.0000 0.0000 0.0000  6 O 2.46
O1 0.0117 0.3690 0.1382  1 Pu 2.07, 1 Te 2.16

Summary:
- Density: 8.177 Mg/m³
- DOS(E_F): 3.04 states/eV/f.u.
- Total moment: 1.00 μB per formula unit
- Energy relative to the elements, uncorrected: -1.23 eV per atom

11.
# Mg2CdSe

Mg2CdSe after structural relaxation (PBE, Alexandria via LeMat-Bulk).

abc: 3.8254 3.8254 6.5273
angles: 90.00 90.00 90.00
Last column: nearest neighbours and their distance in Å.
Space group P4mm (No. 99)
Unique sites:
Mg1 0.0000 0.0000 0.0000  1 Se 2.65, 4 Cd 2.90
Mg2 0.5000 0.5000 0.3498  4 Se 2.73
Cd1 0.5000 0.5000 0.8418  5 Mg 2.90-3.21
Se1 0.0000 0.0000 0.4067  5 Mg 2.65-2.73

Summary:
- Energy above the most stable polymorph in this dataset: 0.46 eV/f.u.
- Density: 4.172 Mg/m³
- DOS(E_F): 1.45 states/eV/f.u.
- Total moment: 0.00 μB per formula unit
- Energy relative to the elements, uncorrected: -0.38 eV per atom

12.
# YTl2HgSb

YTl2HgSb after structural relaxation (PBE, Alexandria via LeMat-Bulk).

abc: 5.9159 5.9159 5.7774
angles: 90.00 90.00 90.00
Last column: nearest neighbours and their distance in Å.
Space group P4/mmm (No. 123)
Unique sites:
Y1 0.0000 0.0000 0.0000  2 Sb 2.89
Tl1 0.0000 0.5000 0.5000  2 Sb 2.96
Hg1 0.5000 0.5000 0.0000  8 Tl 4.13, 4 Y 4.18
Sb1 0.0000 0.0000 0.5000  2 Y 2.89, 4 Tl 2.96

Summary:
- Density: 6.734 Mg/m³
- DOS(E_F): 4.64 states/eV/f.u.
- Total moment: 0.00 μB per formula unit
- Energy relative to the elements, uncorrected: 0.29 eV per atom

13.
# TaReRh2

TaReRh2 after structural relaxation (PBE, Alexandria via LeMat-Bulk).

abc: 2.7995 2.7995 27.3807
angles: 90.00 90.00 120.00
Last column: nearest neighbours and their distance in Å.
Space group R3m (No. 160, hexagonal axes)
Unique sites:
Ta1 0.0000 0.0000 0.0000  3 Rh 2.73, 6 Ta 2.80, 3 Re 2.97
Re1 0.0000 0.0000 0.7576  3 Rh 2.64, 6 Re 2.80
Rh1 0.0000 0.0000 0.2531  3 Ta 2.73, 9 Rh 2.80-2.85
Rh2 0.0000 0.0000 0.5007  3 Re 2.64, 9 Rh 2.80-2.85

Summary:
- Energy above the most stable polymorph in this dataset: 1.24 eV/f.u.
- Density: 15.359 Mg/m³
- DOS(E_F): 5.56 states/eV/f.u.
- Total moment: 0.00 μB per formula unit

14.
# ZnAgIr2

ZnAgIr2 after structural relaxation (PBE, Alexandria via LeMat-Bulk).

abc: 2.7511 4.6425 4.8026
angles: 90.00 92.98 90.00
Last column: nearest neighbours and their distance in Å.
Space group P2/m (No. 10)
Unique sites:
Zn1 0.0000 0.0000 0.0000  4 Ir 2.67, 4 Ag 2.70-2.83, 2 Zn 2.75
Ag1 0.5000 0.0000 0.5000  4 Zn 2.70-2.83, 2 Ag 2.75, 4 Ir 2.77
Ir1 0.2262 0.5000 0.7636  5 Ir 2.65-2.76, 2 Zn 2.67, 2 Ag 2.77

Summary:
- Density: 15.118 Mg/m³
- DOS(E_F): 3.65 states/eV/f.u.
- Calculated total energy: -21.13 eV per formula unit
- Total moment: 0.00 μB per formula unit

15.
# MoW2Se

MoW2Se after structural relaxation (PBE, Alexandria via LeMat-Bulk).

abc: 3.7263 3.7263 4.7275
angles: 90.00 90.00 90.00
Last column: nearest neighbours and their distance in Å.
Space group P4/mmm (No. 123)
Unique sites:
Mo1 0.0000 0.0000 0.0000  4 Se 2.63
W1 0.0000 0.5000 0.5000  4 W 2.63
Se1 0.5000 0.5000 0.0000  4 Mo 2.63

Summary:
- Density: 13.726 Mg/m³
- DOS(E_F): 4.12 states/eV/f.u.
- Total moment: 0.45 μB per formula unit
- Energy relative to the elements, uncorrected: 0.71 eV per atom

16.
# Tb8Nd2Sc3

Tb8Nd2Sc3 after structural relaxation (PBE, Alexandria via LeMat-Bulk).

abc: 14.7959 8.7161 6.5847
angles: 90.00 98.00 90.00
Last column: nearest neighbours and their distance in Å.
Space group C2/m (No. 12)
Unique sites:
Tb1 0.0885 0.0000 0.3891  3 Tb 3.17-3.50, 2 Sc 3.34, 1 Nd 3.41
Tb2 0.1085 0.1830 0.9235  3 Tb 3.19-3.50, 2 Sc 3.27-3.30, 2 Nd 3.30-3.53
Tb3 0.1888 0.5000 0.2922  1 Sc 3.16, 2 Nd 3.21-3.39
Nd1 0.2044 0.5000 0.7831  7 Tb 3.21-3.53, 1 Sc 3.52
Sc1 0.0000 0.3368 0.5000  1 Sc 2.84
Sc2 0.0000 0.5000 0.0000  6 Tb 3.16-3.27, 2 Nd 3.52

Summary:
- Energy above the most stable polymorph in this dataset: 0.83 eV/f.u.
- Density: 6.693 Mg/m³
- DOS(E_F): 18.93 states/eV/f.u.
- Total moment: 0.00 μB per formula unit

17.
# AlAgAu2S

AlAgAu2S after structural relaxation (PBE, Alexandria via LeMat-Bulk).

abc: 4.9295 4.9295 4.7283
angles: 90.00 90.00 90.00
Last column: nearest neighbours and their distance in Å.
Space group P4/mmm (No. 123)
Unique sites:
Al1 0.0000 0.0000 0.0000  8 Au 3.42, 4 Ag 3.49
Ag1 0.5000 0.5000 0.0000  2 S 2.36
Au1 0.0000 0.5000 0.5000  2 S 2.46
S1 0.5000 0.5000 0.5000  2 Ag 2.36, 4 Au 2.46

Summary:
- Density: 8.106 Mg/m³
- DOS(E_F): 1.70 states/eV/f.u.
- Total moment: 0.00 μB per formula unit
- Energy relative to the elements, uncorrected: 0.46 eV per atom

18.
# PBr2

PBr2 after structural relaxation (PBE, Alexandria via LeMat-Bulk).

abc: 6.7546 6.7546 6.7546
angles: 90.00 90.00 90.00
Last column: nearest neighbours and their distance in Å.
Space group Pa-3 (No. 205)
Unique sites:
P1 0.0000 0.0000 0.0000  6 Br 2.76
Br1 0.1555 0.6555 0.8445  3 P 2.76

Summary:
- Density: 4.112 Mg/m³
- DOS(E_F): 1.85 states/eV/f.u.
- Total moment: 0.00 μB per formula unit
- Energy relative to the elements, uncorrected: 0.32 eV per atom

19.
# Na4SnI6

Na4SnI6 after structural relaxation (PBE, Alexandria via LeMat-Bulk).

abc: 13.7366 13.7366 15.8486
angles: 90.00 90.00 120.00
Last column: nearest neighbours and their distance in Å.
Space group R-3c (No. 167, hexagonal axes)
Unique sites:
Na1 0.0000 0.0000 0.2500  6 I 3.34
Na2 0.0000 0.3657 0.2500  6 I 3.33-3.63
Sn1 0.0000 0.0000 0.0000  6 I 3.14
I1 0.0373 0.2022 0.3855  1 Sn 3.14, 2 Na 3.33-3.34

Summary:
- Density: 3.740 Mg/m³
- DOS(E_F): 0.00 states/eV/f.u.
- Total moment: 0.00 μB per formula unit
- Energy relative to the elements, uncorrected: -0.96 eV per atom

20.
# HoPd2Pb

HoPd2Pb after structural relaxation (PBE, Alexandria via LeMat-Bulk).

abc: 3.5742 3.5742 6.6374
angles: 90.00 90.00 90.00
Last column: nearest neighbours and their distance in Å.
Space group P4/mmm (No. 123)
Unique sites:
Ho1 0.0000 0.0000 0.0000  8 Pd 2.95
Pd1 0.5000 0.5000 0.2290  4 Ho 2.95, 1 Pd 3.04, 4 Pb 3.10
Pb1 0.0000 0.0000 0.5000  8 Pd 3.10, 2 Ho 3.32

Summary:
- Density: 11.456 Mg/m³
- DOS(E_F): 1.81 states/eV/f.u.
- Calculated total energy: -21.20 eV per formula unit
- Total moment: 0.00 μB per formula unit